VASP calculation (PBE-GGA) on crystalline TmPuMnNi at its relaxed geometry.

Unit cell a=6.7116 b=6.7116 c=6.7116 alpha=90.00 beta=90.00 gamma=90.00
Space group F-43m (No. 216)
Inequivalent atoms, fractional coordinates:
Tm: 0.0000 0.0000 0.0000 [4 per cell]
Pu: 0.0000 0.0000 0.5000 [4 per cell]
Mn: 0.2500 0.2500 0.7500 [4 per cell]
Ni: 0.2500 0.2500 0.2500 [4 per cell]

Output
calculated total energy = -8.4532 eV per atom
calculated volume = 18.90 Å³ per atom
formation enthalpy at 0 K = -0.0146 eV per atom